# 1
First-principles (PBE) data for a relaxed HgAsPbO crystal, as listed in the Open Quantum Materials Database.

crystal system = tetragonal
total DFT energy (no corrections) = -3.696 eV per atom

Cell: 4.179 4.179 10.148 Å, 90.00 90.00 90.00°
Space group P4/nmm (No. 129, origin choice 2)
Asymmetric unit:
Hg  0.250  0.750  0.000 (multiplicity 2)
As  0.250  0.250  0.183 (multiplicity 2)
Pb  0.250  0.250  0.613 (multiplicity 2)
O  0.250  0.750  0.500 (multiplicity 2)

# 2
First-principles (PBE) data for a relaxed HgAsPbO crystal, as listed in the Open Quantum Materials Database.

crystal system = orthorhombic
total DFT energy (no corrections) = -3.572 eV per atom

Cell: 4.497 6.497 6.542 Å, 90.00 90.00 90.00°
Space group Pmc2_1 (No. 26)
Asymmetric unit:
Hg  0.000  0.186  0.000 (multiplicity 2)
As  0.500  0.309  0.858 (multiplicity 2)
Pb  0.500  0.260  0.430 (multiplicity 2)
O  0.000  0.173  0.370 (multiplicity 2)